# BaMgZnGe2, optimized geometry, DFT PBE
# - theoretical density (g/cm3) = 5.3
# - total energy (eV/cell) = -32.18
data_BaMgZnGe2
_chemical_formula_sum 'Ba2 Mg2 Zn2 Ge4'
_symmetry_space_group_name_H-M 'I -4 m 2'
_symmetry_Int_Tables_number 119
_symmetry_space_group_name_Hall 'I -4 -2'
_cell_length_a 4.584
_cell_length_b 4.584
_cell_length_c 11.170
_cell_angle_alpha 90.00
_cell_angle_beta 90.00
_cell_angle_gamma 90.00
loop_
_atom_site_label
_atom_site_type_symbol
_atom_site_fract_x
_atom_site_fract_y
_atom_site_fract_z
Ba1 Ba 0.000 0.000 0.000
Mg1 Mg 0.000 0.500 0.250
Zn1 Zn 0.000 0.500 0.750
Ge1 Ge 0.000 0.000 0.382

***

# BaGeMo, optimized geometry, DFT PBE
# - theoretical density (g/cm3) = 5.4
# - size of the total moment (μB/f.u.) = 4.01
# - total energy (eV/cell) = -59.08
data_BaGeMo
_chemical_formula_sum 'Ba4 Ge4 Mo4'
_symmetry_space_group_name_H-M 'F -4 3 m'
_symmetry_Int_Tables_number 216
_symmetry_space_group_name_Hall 'F -4 2 3'
_cell_length_a 7.234
_cell_length_b 7.234
_cell_length_c 7.234
_cell_angle_alpha 90.00
_cell_angle_beta 90.00
_cell_angle_gamma 90.00
loop_
_atom_site_label
_atom_site_type_symbol
_atom_site_fract_x
_atom_site_fract_y
_atom_site_fract_z
Ba1 Ba 0.000 0.000 0.000
Ge1 Ge 0.250 0.250 0.250
Mo1 Mo 0.000 0.000 0.500

***

# BaGe2Mo, optimized geometry, DFT PBE
# - theoretical density (g/cm3) = 7.2
# - size of the total moment (μB/f.u.) = 1.33
# - total energy (eV/cell) = -75.45
data_BaGe2Mo
_chemical_formula_sum 'Ba4 Ge8 Mo4'
_symmetry_space_group_name_H-M 'F -4 3 m'
_symmetry_Int_Tables_number 216
_symmetry_space_group_name_Hall 'F -4 2 3'
_cell_length_a 7.034
_cell_length_b 7.034
_cell_length_c 7.034
_cell_angle_alpha 90.00
_cell_angle_beta 90.00
_cell_angle_gamma 90.00
loop_
_atom_site_label
_atom_site_type_symbol
_atom_site_fract_x
_atom_site_fract_y
_atom_site_fract_z
Ba1 Ba 0.000 0.000 0.000
Ge1 Ge 0.000 0.000 0.500
Ge2 Ge 0.250 0.250 0.750
Mo1 Mo 0.250 0.250 0.250

***

# Ba2GeMoS6, optimized geometry, DFT PBE
# - theoretical density (g/cm3) = 4.5
# - size of the total moment (μB/f.u.) = 0.04
# - total energy (eV/cell) = -213.57
data_Ba2GeMoS6
_chemical_formula_sum 'Ba8 Ge4 Mo4 S24'
_symmetry_space_group_name_H-M 'F m -3 m'
_symmetry_Int_Tables_number 225
_symmetry_space_group_name_Hall '-F 4 2 3'
_cell_length_a 9.821
_cell_length_b 9.821
_cell_length_c 9.821
_cell_angle_alpha 90.00
_cell_angle_beta 90.00
_cell_angle_gamma 90.00
loop_
_atom_site_label
_atom_site_type_symbol
_atom_site_fract_x
_atom_site_fract_y
_atom_site_fract_z
Ba1 Ba 0.250 0.250 0.250
Ge1 Ge 0.000 0.000 0.000
Mo1 Mo 0.000 0.000 0.500
S1 S 0.000 0.000 0.255

***

# BaNaNdGe3O9, optimized geometry, DFT PBE
# - theoretical density (g/cm3) = 5.1
# - size of the total moment (μB/f.u.) = 0.00
# - total energy (eV/cell) = -399.68
data_BaNaNdGe3O9
_chemical_formula_sum 'Ba4 Na4 Nd4 Ge12 O36'
_symmetry_space_group_name_H-M 'P 21 21 21'
_symmetry_Int_Tables_number 19
_cell_length_a 5.854
_cell_length_b 11.636
_cell_length_c 12.859
_cell_angle_alpha 90.00
_cell_angle_beta 90.00
_cell_angle_gamma 90.00
loop_
_symmetry_equiv_pos_as_xyz
'x,y,z'
'-x+1/2,-y,z+1/2'
'x+1/2,-y+1/2,-z'
'-x,y+1/2,-z+1/2'
loop_
_atom_site_label
_atom_site_type_symbol
_atom_site_fract_x
_atom_site_fract_y
_atom_site_fract_z
Ba1 Ba 0.104 0.115 0.083
Na1 Na 0.074 0.782 0.115
Nd1 Nd 0.120 0.466 0.141
Ge1 Ge 0.099 0.858 0.863
Ge2 Ge 0.103 0.586 0.883
Ge3 Ge 0.112 0.204 0.813
O1 O 0.004 0.484 0.969
O2 O 0.036 0.461 0.562
O3 O 0.106 0.728 0.942
O4 O 0.120 0.335 0.736
O5 O 0.125 0.096 0.712
O6 O 0.129 0.122 0.312
O7 O 0.135 0.435 0.323
O8 O 0.138 0.697 0.615
O9 O 0.141 0.812 0.384

***

# Ba2NbGeS6, optimized geometry, DFT PBE
# - theoretical density (g/cm3) = 4.4
# - size of the total moment (μB/f.u.) = 0.00
# - total energy (eV/cell) = -217.86
data_Ba2NbGeS6
_chemical_formula_sum 'Ba8 Nb4 Ge4 S24'
_symmetry_space_group_name_H-M 'F m -3 m'
_symmetry_Int_Tables_number 225
_symmetry_space_group_name_Hall '-F 4 2 3'
_cell_length_a 9.852
_cell_length_b 9.852
_cell_length_c 9.852
_cell_angle_alpha 90.00
_cell_angle_beta 90.00
_cell_angle_gamma 90.00
loop_
_atom_site_label
_atom_site_type_symbol
_atom_site_fract_x
_atom_site_fract_y
_atom_site_fract_z
Ba1 Ba 0.250 0.250 0.250
Nb1 Nb 0.000 0.000 0.000
Ge1 Ge 0.000 0.000 0.500
S1 S 0.000 0.000 0.249

***

# BaNdNi2Ge4, optimized geometry, DFT PBE
# - theoretical density (g/cm3) = 7.0
# - size of the total moment (μB/f.u.) = 0.00
# - total energy (eV/cell) = -81.95
data_BaNdNi2Ge4
_chemical_formula_sum 'Ba2 Nd2 Ni4 Ge8'
_symmetry_space_group_name_H-M 'A m m 2'
_symmetry_Int_Tables_number 38
_cell_length_a 4.267
_cell_length_b 4.393
_cell_length_c 17.382
_cell_angle_alpha 90.00
_cell_angle_beta 90.00
_cell_angle_gamma 90.00
loop_
_symmetry_equiv_pos_as_xyz
'x,y,z'
'-x,-y,z'
'-x,y,z'
'x,-y,z'
'x,y+1/2,z+1/2'
'-x,-y+1/2,z+1/2'
'-x,y+1/2,z+1/2'
'x,-y+1/2,z+1/2'
loop_
_atom_site_label
_atom_site_type_symbol
_atom_site_fract_x
_atom_site_fract_y
_atom_site_fract_z
Ba1 Ba 0.000 0.000 0.000
Nd1 Nd 0.500 0.000 0.218
Ni1 Ni 0.000 0.000 0.787
Ni2 Ni 0.500 0.000 0.421
Ge1 Ge 0.000 0.000 0.353
Ge2 Ge 0.000 0.000 0.654
Ge3 Ge 0.500 0.000 0.568
Ge4 Ge 0.500 0.000 0.852

***

# BaNdGeSe3, optimized geometry, DFT PBE
# - theoretical density (g/cm3) = 5.5
# - size of the total moment (μB/f.u.) = 0.01
# - total energy (eV/cell) = -117.42
data_BaNdGeSe3
_chemical_formula_sum 'Ba4 Nd4 Ge4 Se12'
_symmetry_space_group_name_H-M 'C m c m'
_symmetry_Int_Tables_number 63
_symmetry_space_group_name_Hall '-C 2c 2'
_cell_length_a 4.448
_cell_length_b 15.577
_cell_length_c 10.250
_cell_angle_alpha 90.00
_cell_angle_beta 90.00
_cell_angle_gamma 90.00
loop_
_atom_site_label
_atom_site_type_symbol
_atom_site_fract_x
_atom_site_fract_y
_atom_site_fract_z
Ba1 Ba 0.000 0.241 0.250
Nd1 Nd 0.000 0.000 0.000
Ge1 Ge 0.000 0.466 0.750
Se1 Se 0.000 0.110 0.750
Se2 Se 0.000 0.366 0.548

***

Question: Look up the theoretical density of the second one.
Answer: 5.4 g/cm3

***

Question: What is the total energy in the seventh record?
Answer: -81.95 eV/cell

***

Question: Among the records above, which one has the highest total energy?
Answer: BaMgZnGe2

***

Repeat the fourth record exactly.
# Ba2GeMoS6, optimized geometry, DFT PBE
# - theoretical density (g/cm3) = 4.5
# - size of the total moment (μB/f.u.) = 0.04
# - total energy (eV/cell) = -213.57
data_Ba2GeMoS6
_chemical_formula_sum 'Ba8 Ge4 Mo4 S24'
_symmetry_space_group_name_H-M 'F m -3 m'
_symmetry_Int_Tables_number 225
_symmetry_space_group_name_Hall '-F 4 2 3'
_cell_length_a 9.821
_cell_length_b 9.821
_cell_length_c 9.821
_cell_angle_alpha 90.00
_cell_angle_beta 90.00
_cell_angle_gamma 90.00
loop_
_atom_site_label
_atom_site_type_symbol
_atom_site_fract_x
_atom_site_fract_y
_atom_site_fract_z
Ba1 Ba 0.250 0.250 0.250
Ge1 Ge 0.000 0.000 0.000
Mo1 Mo 0.000 0.000 0.500
S1 S 0.000 0.000 0.255